[1]
Computed, not measured: a geometry-optimized TiGa2AuSe structure at the PBE level of DFT.

Values from the calculation:
The value obtained for the total magnetization is 0.001 μB/f.u. As for the theoretical density: 6.2 g cm⁻³. The formation energy (no corrections) is 618 meV per atom. As for the space group: P4/mmm.

abc: 4.821 5.336 4.821
angles: 90.00 90.00 90.00
Positions (direct):
1 Au 0.000 0.000 0.000
2 Ga 0.000 0.000 0.500
3 Ga 0.500 0.000 0.000
4 Se 0.000 0.500 0.000
5 Ti 0.500 0.500 0.500

---

[2]
Computed, not measured: a geometry-optimized Tl2GaAuSe4 structure at the PBE level of DFT.

Values from the calculation:
The value obtained for the total magnetization is 0.000 μB/f.u. As for the theoretical density: 7.4 g cm⁻³. The formation energy (no corrections) is -316 meV per atom. As for the space group: I-4.

abc: 7.592 7.592 6.613
angles: 125.05 125.04 89.98
Positions (direct):
1 Tl 0.487 0.987 0.973
2 Tl 0.236 0.236 0.472
3 Ga 0.736 0.736 0.472
4 Au 0.986 0.486 0.972
5 Se 0.727 0.671 0.790
6 Se 0.800 0.408 0.152
7 Se 0.353 0.744 0.152
8 Se 0.063 0.119 0.791

---

[3]
Computed, not measured: a geometry-optimized VGaAu2Se structure at the PBE level of DFT.

Values from the calculation:
The value obtained for the total magnetization is 0.058 μB/f.u. As for the theoretical density: 8.1 g cm⁻³. The formation energy (no corrections) is 1136 meV per atom. As for the space group: P4/mmm.

abc: 4.995 4.901 4.995
angles: 90.00 90.00 90.00
Last column: magnetic moment on the atom in μB.
Positions (direct):
1 Au 0.000 0.000 0.500  0.01
2 Au 0.500 0.000 0.000  0.02
3 Ga 0.000 0.500 0.000  0.03
4 Se 0.000 0.000 0.000  0.03
5 V 0.500 0.500 0.500  -0.24

---

[4]
Computed, not measured: a geometry-optimized GaSiAu structure at the PBE level of DFT.

Values from the calculation:
The value obtained for the total magnetization is 0.000 μB/f.u. As for the theoretical density: 8.7 g cm⁻³. The formation energy (no corrections) is -54 meV per atom. As for the space group: P-1.

abc: 4.779 6.944 3.747
angles: 90.13 66.76 82.32
Positions (direct):
1 Si 0.572 0.520 0.431
2 Si 0.900 0.509 0.766
3 Au 0.157 0.807 0.638
4 Au 0.315 0.221 0.560
5 Ga 0.919 0.122 0.259
6 Ga 0.553 0.906 0.938

---

[5]
Computed, not measured: a geometry-optimized GaSiAu structure at the PBE level of DFT.

Values from the calculation:
The value obtained for the total magnetization is 0.000 μB/f.u. As for the theoretical density: 9.1 g cm⁻³. The formation energy (no corrections) is 140 meV per atom. As for the space group: Pnma.

abc: 5.948 5.579 6.504
angles: 90.00 90.00 90.00
Positions (direct):
1 Si 0.375 0.250 0.138
2 Si 0.125 0.750 0.638
3 Si 0.625 0.750 0.862
4 Si 0.875 0.250 0.362
5 Au 0.637 0.250 0.840
6 Au 0.863 0.750 0.340
7 Au 0.363 0.750 0.160
8 Au 0.137 0.250 0.660
9 Ga 0.000 0.000 0.000
10 Ga 0.500 0.500 0.500
11 Ga 0.500 0.000 0.500
12 Ga 0.000 0.500 0.000

---

[6]
Computed, not measured: a geometry-optimized GaSiAu2 structure at the PBE level of DFT.

Values from the calculation:
The value obtained for the total magnetization is 0.000 μB/f.u. As for the theoretical density: 10.9 g cm⁻³. The formation energy (no corrections) is 15 meV per atom. As for the space group: R-3m. The energy above the most stable polymorph in this dataset is 0.043 eV per atom.

abc: 3.979 3.979 5.916
angles: 70.35 70.35 60.00
Positions (direct):
1 Si 0.000 0.000 0.000
2 Au 0.256 0.256 0.231
3 Au 0.744 0.744 0.769
4 Ga 0.500 0.500 0.500